i.
This record from Alexandria via LeMat-Bulk describes a relaxed structure of Pm2SiTe. The functional is PBE.

```
data_Pm2SiTe
_chemical_formula_sum 'Pm2 Si1 Te1'
_cell_length_a 3.669
_cell_length_b 3.669
_cell_length_c 7.904
_cell_angle_alpha 90.00
_cell_angle_beta 90.00
_cell_angle_gamma 90.00
_space_group_name_H-M_alt 'P 1'
_space_group_IT_number 1
_space_group_name_Hall 'P 1'
loop_
_atom_site_label
_atom_site_fract_x
_atom_site_fract_y
_atom_site_fract_z
_atom_site_occupancy
Si1 0.500 0.500 0.000 1
Te1 0.500 0.500 0.500 1
Pm1 0.000 0.000 0.765 1
Pm2 0.000 0.000 0.235 1
```

---

ii.
This record from Alexandria via LeMat-Bulk describes a relaxed structure of Pm2SiTe. The functional is PBE.

```
data_Pm2SiTe
_chemical_formula_sum 'Pm2 Si1 Te1'
_cell_length_a 4.328
_cell_length_b 4.328
_cell_length_c 7.697
_cell_angle_alpha 73.67
_cell_angle_beta 73.67
_cell_angle_gamma 60.00
_space_group_name_H-M_alt 'P 1'
_space_group_IT_number 1
_space_group_name_Hall 'P 1'
loop_
_atom_site_label
_atom_site_fract_x
_atom_site_fract_y
_atom_site_fract_z
_atom_site_occupancy
Si1 0.000 0.000 0.000 1
Te1 0.500 0.500 0.500 1
Pm1 0.741 0.741 0.777 1
Pm2 0.259 0.259 0.223 1
```

---

iii.
This record from Alexandria via LeMat-Bulk describes a relaxed structure of Pm2SiTe. The functional is PBE.

```
data_Pm2SiTe
_chemical_formula_sum 'Pm4 Si2 Te2'
_cell_length_a 4.311
_cell_length_b 6.176
_cell_length_c 8.875
_cell_angle_alpha 90.00
_cell_angle_beta 90.00
_cell_angle_gamma 90.00
_space_group_name_H-M_alt 'P 1'
_space_group_IT_number 1
_space_group_name_Hall 'P 1'
loop_
_atom_site_label
_atom_site_fract_x
_atom_site_fract_y
_atom_site_fract_z
_atom_site_occupancy
Pm1 0.000 0.000 0.847 1
Pm2 0.000 0.000 0.390 1
Pm3 0.500 0.500 0.610 1
Pm4 0.500 0.500 0.153 1
Si1 0.500 0.000 0.623 1
Si2 0.000 0.500 0.377 1
Te1 0.000 0.500 0.881 1
Te2 0.500 0.000 0.119 1
```

---

iv.
This record from Alexandria via LeMat-Bulk describes a relaxed structure of Pm2SiTe. The functional is PBE.

```
data_Pm2SiTe
_chemical_formula_sum 'Pm2 Si1 Te1'
_cell_length_a 5.329
_cell_length_b 5.329
_cell_length_c 5.329
_cell_angle_alpha 60.00
_cell_angle_beta 60.00
_cell_angle_gamma 60.00
_space_group_name_H-M_alt 'P 1'
_space_group_IT_number 1
_space_group_name_Hall 'P 1'
loop_
_atom_site_label
_atom_site_fract_x
_atom_site_fract_y
_atom_site_fract_z
_atom_site_occupancy
Si1 0.500 0.500 0.500 1
Te1 0.000 0.000 0.000 1
Pm1 0.250 0.250 0.250 1
Pm2 0.750 0.750 0.750 1
```

---

Result of the stability comparison: iv is the least stable of them.

---

i.
This record from Alexandria via LeMat-Bulk describes a relaxed structure of Pm3SiTe. The functional is PBE.

```
data_Pm3SiTe
_chemical_formula_sum 'Pm3 Si1 Te1'
_cell_length_a 5.498
_cell_length_b 5.498
_cell_length_c 5.498
_cell_angle_alpha 90.00
_cell_angle_beta 90.00
_cell_angle_gamma 90.00
_space_group_name_H-M_alt 'P 1'
_space_group_IT_number 1
_space_group_name_Hall 'P 1'
loop_
_atom_site_label
_atom_site_fract_x
_atom_site_fract_y
_atom_site_fract_z
_atom_site_occupancy
Si1 0.000 0.000 0.000 1
Te1 0.500 0.500 0.500 1
Pm1 0.000 0.500 0.000 1
Pm2 0.000 0.000 0.500 1
Pm3 0.500 0.000 0.000 1
```

---

ii.
This record from Alexandria via LeMat-Bulk describes a relaxed structure of Pm3SiTe. The functional is PBE.

```
data_Pm3SiTe
_chemical_formula_sum 'Pm6 Si2 Te2'
_cell_length_a 7.175
_cell_length_b 8.379
_cell_length_c 7.160
_cell_angle_alpha 115.21
_cell_angle_beta 120.07
_cell_angle_gamma 90.00
_space_group_name_H-M_alt 'P 1'
_space_group_IT_number 1
_space_group_name_Hall 'P 1'
loop_
_atom_site_label
_atom_site_fract_x
_atom_site_fract_y
_atom_site_fract_z
_atom_site_occupancy
Pm1 0.910 0.724 0.317 1
Pm2 0.091 0.275 0.182 1
Pm3 0.407 0.724 0.317 1
Pm4 0.593 0.276 0.683 1
Pm5 0.090 0.276 0.683 1
Pm6 0.909 0.725 0.818 1
Si1 0.832 0.997 0.663 1
Si2 0.168 0.003 0.337 1
Te1 0.382 0.646 0.763 1
Te2 0.618 0.354 0.237 1
```

---

Result of the stability comparison: i is the least stable of them.

---

i.
This record from Alexandria via LeMat-Bulk describes a relaxed structure of Pm2ThSi6. The functional is PBE.

```
data_Pm2ThSi6
_chemical_formula_sum 'Pm2 Th1 Si6'
_cell_length_a 4.134
_cell_length_b 7.157
_cell_length_c 7.157
_cell_angle_alpha 120.00
_cell_angle_beta 90.00
_cell_angle_gamma 90.00
_space_group_name_H-M_alt 'P 1'
_space_group_IT_number 1
_space_group_name_Hall 'P 1'
loop_
_atom_site_label
_atom_site_fract_x
_atom_site_fract_y
_atom_site_fract_z
_atom_site_occupancy
Pm1 0.000 0.333 0.667 1
Pm2 0.000 0.667 0.333 1
Th1 0.000 0.000 0.000 1
Si1 0.500 0.334 0.334 1
Si2 0.500 0.666 0.666 1
Si3 0.500 0.000 0.666 1
Si4 0.500 0.666 0.000 1
Si5 0.500 0.334 0.000 1
Si6 0.500 0.000 0.334 1
```

---

ii.
This record from Alexandria via LeMat-Bulk describes a relaxed structure of Pm2ThSi6. The functional is PBE.

```
data_Pm2ThSi6
_chemical_formula_sum 'Pm2 Th1 Si6'
_cell_length_a 3.856
_cell_length_b 7.741
_cell_length_c 7.741
_cell_angle_alpha 64.85
_cell_angle_beta 75.58
_cell_angle_gamma 75.58
_space_group_name_H-M_alt 'P 1'
_space_group_IT_number 1
_space_group_name_Hall 'P 1'
loop_
_atom_site_label
_atom_site_fract_x
_atom_site_fract_y
_atom_site_fract_z
_atom_site_occupancy
Pm1 0.869 0.631 0.631 1
Pm2 0.131 0.369 0.369 1
Th1 0.000 0.000 0.000 1
Si1 0.689 0.037 0.585 1
Si2 0.311 0.963 0.415 1
Si3 0.311 0.415 0.963 1
Si4 0.500 0.716 0.284 1
Si5 0.500 0.284 0.716 1
Si6 0.689 0.585 0.037 1
```

---

Result of the stability comparison: ii is the least stable of them.

---

i.
This record from Alexandria via LeMat-Bulk describes a relaxed structure of PmThSi. The functional is PBE.

```
data_PmThSi
_chemical_formula_sum 'Pm1 Th1 Si1'
_cell_length_a 4.491
_cell_length_b 4.636
_cell_length_c 4.636
_cell_angle_alpha 120.00
_cell_angle_beta 90.00
_cell_angle_gamma 90.00
_space_group_name_H-M_alt 'P 1'
_space_group_IT_number 1
_space_group_name_Hall 'P 1'
loop_
_atom_site_label
_atom_site_fract_x
_atom_site_fract_y
_atom_site_fract_z
_atom_site_occupancy
Si1 0.992 0.000 0.000 1
Th1 0.273 0.333 0.667 1
Pm1 0.735 0.667 0.333 1
```

---

ii.
This record from Alexandria via LeMat-Bulk describes a relaxed structure of PmThSi. The functional is PBE.

```
data_PmThSi
_chemical_formula_sum 'Pm1 Th1 Si1'
_cell_length_a 3.499
_cell_length_b 3.499
_cell_length_c 7.212
_cell_angle_alpha 102.83
_cell_angle_beta 102.83
_cell_angle_gamma 94.83
_space_group_name_H-M_alt 'P 1'
_space_group_IT_number 1
_space_group_name_Hall 'P 1'
loop_
_atom_site_label
_atom_site_fract_x
_atom_site_fract_y
_atom_site_fract_z
_atom_site_occupancy
Th1 0.970 0.970 0.940 1
Pm1 0.697 0.697 0.394 1
Si1 0.333 0.333 0.666 1
```

---

Result of the stability comparison: i is the least stable of them.

---

i.
This record from Alexandria via LeMat-Bulk describes a relaxed structure of PmThSi. The functional is PBE.

```
data_PmThSi
_chemical_formula_sum 'Pm2 Th2 Si2'
_cell_length_a 3.516
_cell_length_b 5.233
_cell_length_c 8.939
_cell_angle_alpha 96.99
_cell_angle_beta 101.45
_cell_angle_gamma 90.12
_space_group_name_H-M_alt 'P 1'
_space_group_IT_number 1
_space_group_name_Hall 'P 1'
loop_
_atom_site_label
_atom_site_fract_x
_atom_site_fract_y
_atom_site_fract_z
_atom_site_occupancy
Pm1 0.855 0.574 0.392 1
Pm2 0.005 0.977 0.701 1
Th1 0.721 0.042 0.127 1
Th2 0.139 0.509 0.966 1
Si1 0.488 0.450 0.661 1
Si2 0.372 0.101 0.432 1
```

---

ii.
This record from Alexandria via LeMat-Bulk describes a relaxed structure of PmThSi. The functional is PBE.

```
data_PmThSi
_chemical_formula_sum 'Pm1 Th1 Si1'
_cell_length_a 4.967
_cell_length_b 4.967
_cell_length_c 4.967
_cell_angle_alpha 60.00
_cell_angle_beta 60.00
_cell_angle_gamma 60.00
_space_group_name_H-M_alt 'P 1'
_space_group_IT_number 1
_space_group_name_Hall 'P 1'
loop_
_atom_site_label
_atom_site_fract_x
_atom_site_fract_y
_atom_site_fract_z
_atom_site_occupancy
Si1 0.250 0.250 0.250 1
Th1 0.500 0.500 0.500 1
Pm1 0.000 0.000 0.000 1
```

---

Result of the stability comparison: i is the least stable of them.

---

i.
This record from Alexandria via LeMat-Bulk describes a relaxed structure of Pm2ThSi. The functional is PBE.

```
data_Pm2ThSi
_chemical_formula_sum 'Pm2 Th1 Si1'
_cell_length_a 3.759
_cell_length_b 3.759
_cell_length_c 10.037
_cell_angle_alpha 79.21
_cell_angle_beta 79.21
_cell_angle_gamma 60.00
_space_group_name_H-M_alt 'P 1'
_space_group_IT_number 1
_space_group_name_Hall 'P 1'
loop_
_atom_site_label
_atom_site_fract_x
_atom_site_fract_y
_atom_site_fract_z
_atom_site_occupancy
Si1 0.000 0.000 0.000 1
Th1 0.500 0.500 0.500 1
Pm1 0.733 0.733 0.800 1
Pm2 0.267 0.267 0.200 1
```

---

ii.
This record from Alexandria via LeMat-Bulk describes a relaxed structure of Pm2ThSi. The functional is PBE.

```
data_Pm2ThSi
_chemical_formula_sum 'Pm2 Th1 Si1'
_cell_length_a 4.775
_cell_length_b 4.751
_cell_length_c 4.751
_cell_angle_alpha 90.00
_cell_angle_beta 90.00
_cell_angle_gamma 90.00
_space_group_name_H-M_alt 'P 1'
_space_group_IT_number 1
_space_group_name_Hall 'P 1'
loop_
_atom_site_label
_atom_site_fract_x
_atom_site_fract_y
_atom_site_fract_z
_atom_site_occupancy
Si1 0.500 0.000 0.000 1
Th1 0.500 0.500 0.500 1
Pm1 0.000 0.000 0.500 1
Pm2 0.000 0.500 0.000 1
```

---

iii.
This record from Alexandria via LeMat-Bulk describes a relaxed structure of Pm2ThSi. The functional is PBE.

```
data_Pm2ThSi
_chemical_formula_sum 'Pm2 Th1 Si1'
_cell_length_a 3.877
_cell_length_b 3.877
_cell_length_c 7.267
_cell_angle_alpha 90.00
_cell_angle_beta 90.00
_cell_angle_gamma 90.00
_space_group_name_H-M_alt 'P 1'
_space_group_IT_number 1
_space_group_name_Hall 'P 1'
loop_
_atom_site_label
_atom_site_fract_x
_atom_site_fract_y
_atom_site_fract_z
_atom_site_occupancy
Si1 0.500 0.500 0.000 1
Th1 0.500 0.500 0.500 1
Pm1 0.000 0.000 0.796 1
Pm2 0.000 0.000 0.204 1
```

---

Result of the stability comparison: i is the least stable of them.

---

i.
This record from Alexandria via LeMat-Bulk describes a relaxed structure of PmThSi2. The functional is PBE.

```
data_PmThSi2
_chemical_formula_sum 'Pm1 Th1 Si2'
_cell_length_a 4.409
_cell_length_b 3.993
_cell_length_c 5.872
_cell_angle_alpha 90.00
_cell_angle_beta 112.12
_cell_angle_gamma 90.00
_space_group_name_H-M_alt 'P 1'
_space_group_IT_number 1
_space_group_name_Hall 'P 1'
loop_
_atom_site_label
_atom_site_fract_x
_atom_site_fract_y
_atom_site_fract_z
_atom_site_occupancy
Pm1 0.442 0.500 0.424 1
Th1 0.723 0.000 0.983 1
Si1 0.157 0.500 0.853 1
Si2 0.010 0.000 0.558 1
```

---

ii.
This record from Alexandria via LeMat-Bulk describes a relaxed structure of PmThSi2. The functional is PBE.

```
data_PmThSi2
_chemical_formula_sum 'Pm1 Th1 Si2'
_cell_length_a 4.242
_cell_length_b 4.242
_cell_length_c 7.353
_cell_angle_alpha 73.23
_cell_angle_beta 73.23
_cell_angle_gamma 60.00
_space_group_name_H-M_alt 'P 1'
_space_group_IT_number 1
_space_group_name_Hall 'P 1'
loop_
_atom_site_label
_atom_site_fract_x
_atom_site_fract_y
_atom_site_fract_z
_atom_site_occupancy
Si1 0.750 0.750 0.750 1
Si2 0.250 0.250 0.250 1
Th1 0.500 0.500 0.500 1
Pm1 0.000 0.000 0.000 1
```

---

iii.
This record from Alexandria via LeMat-Bulk describes a relaxed structure of PmThSi2. The functional is PBE.

```
data_PmThSi2
_chemical_formula_sum 'Pm1 Th1 Si2'
_cell_length_a 3.392
_cell_length_b 3.392
_cell_length_c 8.133
_cell_angle_alpha 90.00
_cell_angle_beta 90.00
_cell_angle_gamma 90.00
_space_group_name_H-M_alt 'P 1'
_space_group_IT_number 1
_space_group_name_Hall 'P 1'
loop_
_atom_site_label
_atom_site_fract_x
_atom_site_fract_y
_atom_site_fract_z
_atom_site_occupancy
Si1 0.000 0.000 0.751 1
Si2 0.000 0.000 0.249 1
Th1 0.500 0.500 0.500 1
Pm1 0.500 0.500 0.000 1
```

---

Result of the stability comparison: iii is the least stable of them.

---

i.
This record from Alexandria via LeMat-Bulk describes a relaxed structure of PmTh2Si. The functional is PBE.

```
data_PmTh2Si
_chemical_formula_sum 'Pm1 Th2 Si1'
_cell_length_a 3.834
_cell_length_b 3.834
_cell_length_c 10.672
_cell_angle_alpha 79.65
_cell_angle_beta 79.65
_cell_angle_gamma 60.00
_space_group_name_H-M_alt 'P 1'
_space_group_IT_number 1
_space_group_name_Hall 'P 1'
loop_
_atom_site_label
_atom_site_fract_x
_atom_site_fract_y
_atom_site_fract_z
_atom_site_occupancy
Si1 0.500 0.500 0.500 1
Th1 0.109 0.109 0.673 1
Th2 0.891 0.891 0.327 1
Pm1 0.000 0.000 0.000 1
```

---

ii.
This record from Alexandria via LeMat-Bulk describes a relaxed structure of PmTh2Si. The functional is PBE.

```
data_PmTh2Si
_chemical_formula_sum 'Pm1 Th2 Si1'
_cell_length_a 4.770
_cell_length_b 4.770
_cell_length_c 4.770
_cell_angle_alpha 90.00
_cell_angle_beta 90.00
_cell_angle_gamma 90.00
_space_group_name_H-M_alt 'P 1'
_space_group_IT_number 1
_space_group_name_Hall 'P 1'
loop_
_atom_site_label
_atom_site_fract_x
_atom_site_fract_y
_atom_site_fract_z
_atom_site_occupancy
Si1 0.500 0.500 0.500 1
Th1 0.000 0.000 0.500 1
Th2 0.000 0.500 0.000 1
Pm1 0.500 0.000 0.000 1
```

---

iii.
This record from Alexandria via LeMat-Bulk describes a relaxed structure of PmTh2Si. The functional is PBE.

```
data_PmTh2Si
_chemical_formula_sum 'Pm1 Th2 Si1'
_cell_length_a 3.807
_cell_length_b 3.807
_cell_length_c 7.972
_cell_angle_alpha 90.00
_cell_angle_beta 90.00
_cell_angle_gamma 90.00
_space_group_name_H-M_alt 'P 1'
_space_group_IT_number 1
_space_group_name_Hall 'P 1'
loop_
_atom_site_label
_atom_site_fract_x
_atom_site_fract_y
_atom_site_fract_z
_atom_site_occupancy
Si1 0.500 0.500 0.500 1
Th1 0.000 0.000 0.695 1
Th2 0.000 0.000 0.305 1
Pm1 0.500 0.500 0.000 1
```

---

Result of the stability comparison: i is the least stable of them.